No. 1
Entry from Alexandria: a geometry-optimized Ba2MgCuBi2F14 structure (GGA-PBEsol).

Results
**E_form (uncorrected)**: -2878 meV per atom
**Spin magnetization**: 1.0 μB/f.u.
**E_tot**: -413.876 eV per cell

Cell: 14.313 5.186 16.143 Å, 90.00 90.77 90.00°
Space group C2/c (No. 15)
One atom of each set of equivalent atoms:
Ba (0.182, 0.097, 0.371) x8
Mg (0.000, 0.440, 0.750) x4
Cu (0.000, 0.500, 0.000) x4
Bi (0.107, 0.049, 0.121) x8
F (0.020, 0.162, 0.828) x8
F (0.025, 0.369, 0.391) x8
F (0.072, 0.194, 0.984) x8
F (0.104, 0.327, 0.236) x8
F (0.146, 0.301, 0.548) x8
F (0.176, 0.179, 0.720) x8
F (0.243, 0.372, 0.899) x8


No. 2
Entry from Alexandria: a geometry-optimized BaBiF7 structure (GGA-PBEsol).

Results
**E_form (uncorrected)**: -2595 meV per atom
**Spin magnetization**: 0.0 μB/f.u.
**E_tot**: -173.120 eV per cell

Cell: 5.572 9.718 10.263 Å, 90.00 90.43 90.00°
Space group P2_1/c (No. 14)
One atom of each set of equivalent atoms:
Ba (0.247, 0.201, 0.003) x4
Bi (0.263, 0.609, 0.222) x4
F (0.055, 0.222, 0.258) x4
F (0.055, 0.520, 0.372) x4
F (0.127, 0.049, 0.615) x4
F (0.230, 0.734, 0.055) x4
F (0.424, 0.077, 0.380) x4
F (0.431, 0.726, 0.807) x4
F (0.491, 0.508, 0.359) x4


No. 3
Entry from Alexandria: a geometry-optimized BaZnBiF7 structure (GGA-PBEsol).

Results
**E_form (uncorrected)**: -2847 meV per atom
**Spin magnetization**: 0.0 μB/f.u.
**E_tot**: -199.901 eV per cell

Cell: 5.635 10.891 9.580 Å, 90.00 93.85 90.00°
Space group P2_1/c (No. 14)
One atom of each set of equivalent atoms:
Ba (0.248, 0.155, 0.471) x4
Zn (0.286, 0.650, 0.712) x4
Bi (0.228, 0.576, 0.367) x4
F (0.013, 0.742, 0.275) x4
F (0.104, 0.513, 0.153) x4
F (0.148, 0.004, 0.111) x4
F (0.180, 0.731, 0.528) x4
F (0.408, 0.551, 0.868) x4
F (0.424, 0.113, 0.914) x4
F (0.500, 0.204, 0.223) x4


No. 4
Entry from Alexandria: a geometry-optimized BaTiFe3Bi3O12 structure (GGA-PBEsol).

Results
**E_form (uncorrected)**: -1669 meV per atom
**Spin magnetization**: 7.0 μB/f.u.
**E_tot**: -439.779 eV per cell

Cell: 5.4753 5.4753 26.8986 Å, 90.00 90.00 120.00°
Space group R3 (No. 146, hexagonal axes)
One atom of each set of equivalent atoms:
Ba (0.0000, 0.0000, 0.0000) x3
Ti (0.0000, 0.0000, 0.3808) x3
Fe (0.0000, 0.0000, 0.1232) x3
Fe (0.0000, 0.0000, 0.6234) x3
Fe (0.0000, 0.0000, 0.8758) x3
Bi (0.0000, 0.0000, 0.2642) x3
Bi (0.0000, 0.0000, 0.5115) x3
Bi (0.0000, 0.0000, 0.7648) x3
O (0.0023, 0.4507, 0.7501) x9
O (0.0033, 0.5568, 0.4940) x9
O (0.0106, 0.5224, 0.9944) x9
O (0.0189, 0.4694, 0.2465) x9